Entry from the Alexandria database: a geometry-optimized TmBiWO6 structure (PBE+U).

Results
- DOS(E_F): 0.00 states/eV/cell
- Total magnetic moment: 0.00 μB per cell
- Uncorrected energy: -7.31 eV/atom

a b c (Å): 5.553 5.553 9.704
angles (deg): 90.00 90.00 120.00
Atoms (fractional coordinates):
1 Tm 0.333 0.667 0.250
2 Tm 0.667 0.333 0.750
3 Bi 0.000 0.000 0.000
4 Bi 0.000 0.000 0.500
5 W 0.667 0.333 0.250
6 W 0.333 0.667 0.750
7 O 0.658 0.623 0.138
8 O 0.965 0.342 0.138
9 O 0.342 0.965 0.638
10 O 0.035 0.658 0.862
11 O 0.377 0.342 0.362
12 O 0.965 0.623 0.362
13 O 0.623 0.965 0.862
14 O 0.658 0.035 0.362
15 O 0.035 0.377 0.638
16 O 0.377 0.035 0.138
17 O 0.623 0.658 0.638
18 O 0.342 0.377 0.862